Record 1
A relaxed ZrTa2TiN crystal. Source: Alexandria, functional PBE-GGA.

Unit cell a=4.3974 b=4.3974 c=4.1308 alpha=90.00 beta=90.00 gamma=90.00
Space group P4/mmm (No. 123)
Unique sites:
Zr: 0.0000 0.0000 0.0000 [1 per cell]
Ta: 0.0000 0.5000 0.5000 [2 per cell]
Ti: 0.5000 0.5000 0.0000 [1 per cell]
N: 0.5000 0.5000 0.5000 [1 per cell]

Output
raw formation energy	-0.560	eV/atom
ρ	10.71	g cm⁻³
V	79.9	Å³ per cell
VASP energy	-0.75372	Ry per atom
distance to the lowest polymorph of the same formula	0	meV/atom


Record 2
A relaxed ZrTaTiN2 crystal. Source: Alexandria, functional PBE-GGA.

Unit cell a=3.9818 b=3.9818 c=5.0942 alpha=90.00 beta=90.00 gamma=90.00
Space group P4/mmm (No. 123)
Unique sites:
Zr: 0.0000 0.0000 0.0000 [1 per cell]
Ta: 0.5000 0.5000 0.0000 [1 per cell]
Ti: 0.0000 0.0000 0.5000 [1 per cell]
N: 0.0000 0.5000 0.5000 [2 per cell]

Output
raw formation energy	1.068	eV/atom
ρ	7.16	g cm⁻³
V	80.8	Å³ per cell
VASP energy	-0.58217	Ry per atom


Record 3
A relaxed Zr2TaTiN crystal. Source: Alexandria, functional PBE-GGA.

Unit cell a=4.5813 b=4.5813 c=4.0600 alpha=90.00 beta=90.00 gamma=90.00
Space group P4/mmm (No. 123)
Unique sites:
Zr: 0.0000 0.5000 0.0000 [2 per cell]
Ta: 0.0000 0.0000 0.5000 [1 per cell]
Ti: 0.5000 0.5000 0.5000 [1 per cell]
N: 0.5000 0.5000 0.0000 [1 per cell]

Output
raw formation energy	-0.660	eV/atom
ρ	8.29	g cm⁻³
V	85.2	Å³ per cell
VASP energy	-0.71247	Ry per atom
distance to the lowest polymorph of the same formula	0	meV/atom


Record 4
A relaxed Zr2TaTiN crystal. Source: Alexandria, functional PBE-GGA.

Unit cell a=4.5633 b=4.5633 c=4.1803 alpha=90.00 beta=90.00 gamma=90.00
Space group P4/mmm (No. 123)
Unique sites:
Zr: 0.0000 0.5000 0.0000 [2 per cell]
Ta: 0.0000 0.0000 0.5000 [1 per cell]
Ti: 0.5000 0.5000 0.5000 [1 per cell]
N: 0.0000 0.0000 0.0000 [1 per cell]

Output
raw formation energy	-0.605	eV/atom
ρ	8.11	g cm⁻³
V	87.0	Å³ per cell
VASP energy	-0.70843	Ry per atom
distance to the lowest polymorph of the same formula	55	meV/atom


Record 5
A relaxed TaTlN3 crystal. Source: Alexandria, functional PBE-GGA.

Unit cell a=4.1497 b=4.1497 c=4.1497 alpha=90.00 beta=90.00 gamma=90.00
Space group Pm-3m (No. 221)
Unique sites:
Ta: 0.0000 0.0000 0.0000 [1 per cell]
Tl: 0.5000 0.5000 0.5000 [1 per cell]
N: 0.0000 0.0000 0.5000 [3 per cell]

Output
raw formation energy	0.412	eV/atom
ρ	9.93	g cm⁻³
V	71.5	Å³ per cell
VASP energy	-0.54584	Ry per atom


Record 6
A relaxed Ta2TlN crystal. Source: Alexandria, functional PBE-GGA.

Unit cell a=6.3902 b=6.3902 c=6.3902 alpha=90.00 beta=90.00 gamma=90.00
Space group Fm-3m (No. 225)
Unique sites:
Ta: 0.2500 0.2500 0.2500 [8 per cell]
Tl: 0.0000 0.0000 0.0000 [4 per cell]
N: 0.0000 0.0000 0.5000 [4 per cell]

Output
raw formation energy	1.244	eV/atom
ρ	14.77	g cm⁻³
V	260.9	Å³ per cell
VASP energy	-0.54058	Ry per atom


Record 7
A relaxed TaTlN3 crystal. Source: Alexandria, functional PBE-GGA.

Unit cell a=4.0793 b=4.0793 c=4.0793 alpha=90.00 beta=90.00 gamma=90.00
Space group Pm-3m (No. 221)
Unique sites:
Ta: 0.0000 0.0000 0.0000 [1 per cell]
Tl: 0.5000 0.5000 0.5000 [1 per cell]
N: 0.0000 0.5000 0.5000 [3 per cell]

Output
raw formation energy	2.410	eV/atom
ρ	10.45	g cm⁻³
V	67.9	Å³ per cell
VASP energy	-0.39906	Ry per atom


Record 8
A relaxed Ta3TlN crystal. Source: Alexandria, functional PBE-GGA.

Unit cell a=4.3279 b=4.3279 c=4.3279 alpha=90.00 beta=90.00 gamma=90.00
Space group Pm-3m (No. 221)
Unique sites:
Ta: 0.0000 0.0000 0.5000 [3 per cell]
Tl: 0.5000 0.5000 0.5000 [1 per cell]
N: 0.0000 0.0000 0.0000 [1 per cell]

Output
raw formation energy	-0.070	eV/atom
ρ	15.59	g cm⁻³
V	81.1	Å³ per cell
VASP energy	-0.68503	Ry per atom


Record 9
A relaxed Ta3TlN crystal. Source: Alexandria, functional PBE-GGA.

Unit cell a=5.0674 b=5.0674 c=5.0674 alpha=90.00 beta=90.00 gamma=90.00
Space group Pm-3m (No. 221)
Unique sites:
Ta: 0.0000 0.0000 0.5000 [3 per cell]
Tl: 0.0000 0.0000 0.0000 [1 per cell]
N: 0.5000 0.5000 0.5000 [1 per cell]

Output
raw formation energy	3.582	eV/atom
ρ	9.71	g cm⁻³
V	130.1	Å³ per cell
VASP energy	-0.41658	Ry per atom


Record 10
A relaxed Ta2TlN crystal. Source: Alexandria, functional PBE-GGA.

Unit cell a=5.4282 b=5.4282 c=11.1534 alpha=90.00 beta=90.00 gamma=90.00
Space group I-42d (No. 122)
Unique sites:
Ta: 0.1033 0.2500 0.1250 [8 per cell]
Tl: 0.0000 0.0000 0.5000 [4 per cell]
N: 0.0000 0.0000 0.0000 [4 per cell]

Output
raw formation energy	0.319	eV/atom
ρ	11.73	g cm⁻³
V	328.6	Å³ per cell
VASP energy	-0.60859	Ry per atom


Record 11
A relaxed TaTlV2N crystal. Source: Alexandria, functional PBE-GGA.

Unit cell a=4.9145 b=4.9145 c=3.9649 alpha=90.00 beta=90.00 gamma=90.00
Space group P4/mmm (No. 123)
Unique sites:
Ta: 0.0000 0.0000 0.0000 [1 per cell]
Tl: 0.5000 0.5000 0.5000 [1 per cell]
V: 0.0000 0.5000 0.0000 [2 per cell]
N: 0.0000 0.0000 0.5000 [1 per cell]

Output
raw formation energy	1.190	eV/atom
ρ	8.69	g cm⁻³
V	95.8	Å³ per cell
VASP energy	-0.51200	Ry per atom


Record 12
A relaxed TaTlZn2N crystal. Source: Alexandria, functional PBE-GGA.

Unit cell a=5.3348 b=5.3348 c=3.9738 alpha=90.00 beta=90.00 gamma=90.00
Space group P4/mmm (No. 123)
Unique sites:
Ta: 0.0000 0.0000 0.0000 [1 per cell]
Tl: 0.5000 0.5000 0.5000 [1 per cell]
Zn: 0.0000 0.5000 0.0000 [2 per cell]
N: 0.0000 0.0000 0.5000 [1 per cell]

Output
raw formation energy	0.406	eV/atom
ρ	7.78	g cm⁻³
V	113.1	Å³ per cell
VASP energy	-0.33902	Ry per atom


Record 13
A relaxed Tm2TaN crystal. Source: Alexandria, functional PBE-GGA.

Unit cell a=3.2285 b=3.2285 c=26.1284 alpha=90.00 beta=90.00 gamma=120.00
Space group R-3m (No. 166, hexagonal axes)
Unique sites:
Tm: 0.0000 0.0000 0.1146 [6 per cell]
Ta: 0.0000 0.0000 0.0000 [3 per cell]
N: 0.0000 0.0000 0.5000 [3 per cell]

Output
raw formation energy	-0.332	eV/atom
ρ	11.25	g cm⁻³
V	235.9	Å³ per cell
VASP energy	-0.55950	Ry per atom


Record 14
A relaxed TmTaN crystal. Source: Alexandria, functional PBE-GGA.

Unit cell a=11.8449 b=3.1190 c=6.3280 alpha=90.00 beta=121.62 gamma=90.00
Space group C2/m (No. 12)
Unique sites:
Tm: 0.1295 0.0000 0.0042 [4 per cell]
Ta: 0.1401 0.0000 0.5138 [4 per cell]
N: 0.1302 0.5000 0.2766 [4 per cell]

Output
raw formation energy	-0.491	eV/atom
ρ	12.14	g cm⁻³
V	199.1	Å³ per cell
VASP energy	-0.64001	Ry per atom